Entry from Alexandria via LeMat-Bulk: crystalline RbCd2Hg2 at its relaxed geometry (PBE-GGA).

Cell lengths 9.312, 9.312, 3.427 Å; angles 90.00, 90.00, 90.00 degrees
Element x y z (fractional)
Hg: 0.352 0.852 0.000
Hg: 0.852 0.648 0.000
Hg: 0.648 0.148 0.000
Hg: 0.148 0.352 0.000
Rb: 0.000 0.000 0.000
Rb: 0.500 0.500 0.000
Cd: 0.143 0.643 0.500
Cd: 0.643 0.857 0.500
Cd: 0.857 0.357 0.500
Cd: 0.357 0.143 0.500

ΔE to the lowest computed polymorph in meV per atom: 83
E_form in eV/atom: -0.058


Entry from Alexandria via LeMat-Bulk: crystalline CsRb2PuF8 at its relaxed geometry (PBE-GGA).

Cell lengths 6.279, 6.279, 7.733 Å; angles 113.95, 113.95, 90.00 degrees
Site moments in Bohr magnetons follow the coordinates.
Element x y z (fractional)
Cs: 0.500 0.500 0.000  0.00
Rb: 0.750 0.250 0.500  0.00
Rb: 0.000 0.000 0.000  0.00
Pu: 0.250 0.750 0.500  3.26
F: 0.145 0.650 0.701  -0.03
F: 0.556 0.650 0.701  -0.03
F: 0.350 0.444 0.299  -0.03
F: 0.949 0.855 0.299  -0.03
F: 0.556 0.051 0.701  -0.03
F: 0.350 0.855 0.299  -0.03
F: 0.145 0.051 0.701  -0.03
F: 0.949 0.444 0.299  -0.03

Formation energy without anion corrections in meV per atom: -3029


Entry from Alexandria via LeMat-Bulk: crystalline Pr2DySn2 at its relaxed geometry (PBE-GGA).

Cell lengths 4.602, 8.192, 8.192 Å; angles 90.00, 90.00, 90.00 degrees
Element x y z (fractional)
Pr: 0.500 0.172 0.672
Pr: 0.500 0.672 0.828
Pr: 0.500 0.828 0.328
Pr: 0.500 0.328 0.172
Dy: 0.000 0.000 0.000
Dy: 0.000 0.500 0.500
Sn: 0.000 0.370 0.870
Sn: 0.000 0.870 0.630
Sn: 0.000 0.630 0.130
Sn: 0.000 0.130 0.370

ΔE to the lowest computed polymorph in meV per atom: 0
E_form in eV/atom: -0.713


Entry from Alexandria via LeMat-Bulk: crystalline PmGePd2 at its relaxed geometry (PBE-GGA).

Cell lengths 3.497, 3.497, 6.424 Å; angles 90.00, 90.00, 90.00 degrees
Element x y z (fractional)
Ge: 0.500 0.500 0.000
Pd: 0.000 0.000 0.782
Pd: 0.000 0.000 0.218
Pm: 0.500 0.500 0.500

E_form in eV/atom: -0.522


Entry from Alexandria via LeMat-Bulk: crystalline Hf3Zr2Sc8 at its relaxed geometry (PBE-GGA).

Cell lengths 5.121, 6.784, 9.677 Å; angles 110.52, 90.00, 90.00 degrees
Element x y z (fractional)
Hf: 0.500 0.000 0.000
Hf: 0.000 0.275 0.000
Hf: 0.000 0.725 0.000
Zr: 0.500 0.758 0.517
Zr: 0.500 0.242 0.483
Sc: 0.000 0.329 0.658
Sc: 0.000 0.671 0.342
Sc: 0.000 0.864 0.728
Sc: 0.000 0.136 0.272
Sc: 0.500 0.814 0.210
Sc: 0.500 0.397 0.210
Sc: 0.500 0.603 0.790
Sc: 0.500 0.186 0.790

E_form in eV/atom: 0.289


Entry from Alexandria via LeMat-Bulk: crystalline Na2Cd3Pb at its relaxed geometry (PBE-GGA).

Cell lengths 6.175, 6.175, 9.611 Å; angles 100.85, 100.85, 114.47 degrees
Element x y z (fractional)
Na: 0.250 0.750 0.500
Na: 0.750 0.750 0.000
Na: 0.750 0.250 0.500
Na: 0.250 0.250 0.000
Cd: 0.325 0.838 0.163
Cd: 0.162 0.675 0.837
Cd: 0.675 0.162 0.837
Cd: 0.838 0.325 0.163
Cd: 0.164 0.164 0.329
Cd: 0.836 0.836 0.671
Pb: 0.663 0.663 0.326
Pb: 0.337 0.337 0.674

ΔE to the lowest computed polymorph in meV per atom: 0
E_form in eV/atom: -0.112


Entry from Alexandria via LeMat-Bulk: crystalline Ba2TbIn12Pt3 at its relaxed geometry (PBE-GGA).

Cell lengths 8.830, 8.830, 8.830 Å; angles 68.59, 68.59, 68.59 degrees
Element x y z (fractional)
Ba: 0.589 0.589 0.589
Ba: 0.411 0.411 0.411
Tb: 0.000 0.000 0.000
In: 0.283 0.283 0.885
In: 0.851 0.851 0.401
In: 0.401 0.851 0.851
In: 0.885 0.283 0.283
In: 0.851 0.401 0.851
In: 0.283 0.885 0.283
In: 0.717 0.717 0.115
In: 0.149 0.149 0.599
In: 0.599 0.149 0.149
In: 0.115 0.717 0.717
In: 0.149 0.599 0.149
In: 0.717 0.115 0.717
Pt: 0.500 0.000 0.000
Pt: 0.000 0.500 0.000
Pt: 0.000 0.000 0.500

E_form in eV/atom: -0.158


Entry from Alexandria via LeMat-Bulk: crystalline Sm8Dy6Y at its relaxed geometry (PBE-GGA).

Cell lengths 9.111, 9.111, 8.705 Å; angles 58.44, 58.44, 60.00 degrees
Element x y z (fractional)
Sm: 0.252 0.281 0.578
Sm: 0.719 0.112 0.422
Sm: 0.112 0.748 0.422
Sm: 0.577 0.577 0.268
Sm: 0.423 0.423 0.732
Sm: 0.888 0.252 0.578
Sm: 0.281 0.888 0.578
Sm: 0.748 0.719 0.422
Dy: 0.461 0.900 0.881
Dy: 0.100 0.242 0.119
Dy: 0.242 0.539 0.119
Dy: 0.758 0.461 0.881
Dy: 0.900 0.758 0.881
Dy: 0.539 0.100 0.119
Y: 0.000 0.000 0.000

ΔE to the lowest computed polymorph in meV per atom: 0
E_form in eV/atom: 0.127


Entry from Alexandria via LeMat-Bulk: crystalline PmPuRu4 at its relaxed geometry (PBE-GGA).

Cell lengths 5.361, 5.361, 5.361 Å; angles 60.00, 60.00, 60.00 degrees
Site moments in Bohr magnetons follow the coordinates.
Element x y z (fractional)
Ru: 0.625 0.625 0.124  0.52
Ru: 0.625 0.124 0.625  0.52
Ru: 0.625 0.625 0.625  0.52
Ru: 0.124 0.625 0.625  0.52
Pm: 0.250 0.250 0.250  -0.10
Pu: 0.000 0.000 0.000  -4.97

E_form in eV/atom: -0.150


Entry from Alexandria via LeMat-Bulk: crystalline AcPr8Y5 at its relaxed geometry (PBE-GGA).

Cell lengths 8.733, 8.819, 8.791 Å; angles 113.30, 97.42, 117.52 degrees
Element x y z (fractional)
Ac: 0.028 0.488 0.643
Pr: 0.228 0.754 0.119
Pr: 0.118 0.201 0.733
Pr: 0.652 0.215 0.267
Pr: 0.695 0.456 0.939
Pr: 0.487 0.551 0.239
Pr: 0.516 0.774 0.874
Pr: 0.380 0.274 0.481
Pr: 0.077 0.761 0.433
Y: 0.963 0.261 0.062
Y: 0.890 0.970 0.259
Y: 0.813 0.752 0.699
Y: 0.606 0.010 0.592
Y: 0.295 0.031 0.911

E_form in eV/atom: 0.171


Entry from Alexandria via LeMat-Bulk: crystalline TbNdMg2Hg4 at its relaxed geometry (PBE-GGA).

Cell lengths 5.124, 5.124, 8.913 Å; angles 73.29, 73.29, 60.00 degrees
Element x y z (fractional)
Tb: 0.500 0.500 0.500
Nd: 0.000 0.000 0.000
Mg: 0.750 0.750 0.749
Mg: 0.250 0.250 0.251
Hg: 0.378 0.378 0.867
Hg: 0.873 0.873 0.381
Hg: 0.127 0.127 0.619
Hg: 0.622 0.622 0.133

E_form in eV/atom: -0.469


Entry from Alexandria via LeMat-Bulk: crystalline Tm8Al3Sn2 at its relaxed geometry (PBE-GGA).

Cell lengths 4.964, 10.000, 8.846 Å; angles 124.42, 90.00, 90.00 degrees
Element x y z (fractional)
Tm: 0.000 0.614 0.229
Tm: 0.000 0.386 0.771
Tm: 0.000 0.127 0.254
Tm: 0.000 0.873 0.746
Tm: 0.500 0.629 0.759
Tm: 0.500 0.130 0.759
Tm: 0.500 0.870 0.241
Tm: 0.500 0.371 0.241
Al: 0.500 0.000 0.000
Al: 0.000 0.246 0.000
Al: 0.000 0.754 0.000
Sn: 0.500 0.257 0.513
Sn: 0.500 0.743 0.487

E_form in eV/atom: -0.289


We obtain N(E_F) values of 4.16, 1.72, 9.63, 2.27, 19.94, 4.57, 9.92, 23.12, 6.72, 19.07, 2.55, 12.17 states/eV/cell for the records listed above, in that order.